[1]
TmOsNO | PBE-GGA | relaxed

Output
The calculation puts the polymorph energy (0 for the lowest one) at 550 meV/atom. Its space group is Pmc2_1 (26).

Unit cell a=3.4922 b=6.1496 c=5.2865 alpha=90.00 beta=90.00 gamma=90.00
Atoms (fractional coordinates):
Tm1 0.0000 0.1925 0.0000
Tm2 0.0000 0.8075 0.5000
Os1 0.5000 0.4042 0.4217
Os2 0.5000 0.5958 0.9217
N1 0.5000 0.3133 0.7799
N2 0.5000 0.6867 0.2799
O1 0.0000 0.1508 0.4029
O2 0.0000 0.8492 0.9029

[2]
InReAs | PBE-GGA | relaxed

Output
The calculation puts the polymorph energy (0 for the lowest one) at 0 meV/atom. Its space group is F-43m (216).

Unit cell a=4.4211 b=4.4211 c=4.4211 alpha=60.00 beta=60.00 gamma=60.00
Atoms (fractional coordinates):
In1 0.0000 0.0000 0.0000
Re1 0.7500 0.7500 0.7500
As1 0.5000 0.5000 0.5000

[3]
GaTcHg | PBE-GGA | relaxed

Output
The calculation puts the polymorph energy (0 for the lowest one) at 0 meV/atom. Its space group is F-43m (216).

Unit cell a=4.2936 b=4.2936 c=4.2936 alpha=60.00 beta=60.00 gamma=60.00
Atoms (fractional coordinates):
Ga1 0.0000 0.0000 0.0000
Tc1 0.2500 0.2500 0.2500
Hg1 0.7500 0.7500 0.7500

[4]
U2CuSb4 | PBE-GGA | relaxed

Output
The total energy comes out at -6.3693 eV/atom. Its space group is P-4m2 (115).

Unit cell a=4.3441 b=4.3441 c=9.2451 alpha=90.00 beta=90.00 gamma=90.00
Atoms (fractional coordinates):
U1 0.0000 0.5000 0.2366
U2 0.5000 0.0000 0.7634
Cu1 0.5000 0.5000 0.0000
Sb1 0.0000 0.0000 0.5000
Sb2 0.0000 0.5000 0.8439
Sb3 0.5000 0.0000 0.1561
Sb4 0.5000 0.5000 0.5000

[5]
LaHfZr | PBE-GGA | relaxed

Output
The calculation puts the polymorph energy (0 for the lowest one) at 0 meV/atom. Its formation energy is 0.85 eV per atom. Its space group is F-43m (216).

Unit cell a=5.0344 b=5.0344 c=5.0344 alpha=60.00 beta=60.00 gamma=60.00
Atoms (fractional coordinates):
La1 0.0000 0.0000 0.0000
Hf1 0.2500 0.2500 0.2500
Zr1 0.5000 0.5000 0.5000

[6]
Ta4CuNiC2 | PBE-GGA | relaxed

Output
The total energy comes out at -9.6935 eV/atom. Its space group is P-6m2 (187).

Unit cell a=3.1014 b=3.1014 c=13.1952 alpha=90.00 beta=90.00 gamma=120.00
Atoms (fractional coordinates):
Ta1 0.0000 0.0000 0.1513
Ta2 0.0000 0.0000 0.8487
Ta3 0.6667 0.3333 0.3399
Ta4 0.6667 0.3333 0.6601
Cu1 0.0000 0.0000 0.5000
Ni1 0.6667 0.3333 0.0000
C1 0.3333 0.6667 0.2462
C2 0.3333 0.6667 0.7538

[7]
Mg2Fe3Re2 | PBE-GGA | relaxed

Output
The total energy comes out at -7.2260 eV/atom. Its space group is R3m (160).

Unit cell a=7.0039 b=7.0039 c=7.0039 alpha=34.10 beta=34.10 gamma=34.10
Atoms (fractional coordinates):
Mg1 0.0000 0.0000 0.0000
Mg2 0.4861 0.4861 0.4861
Fe1 0.3632 0.3632 0.3632
Fe2 0.6149 0.6149 0.6149
Fe3 0.8666 0.8666 0.8666
Re1 0.2397 0.2397 0.2397
Re2 0.7444 0.7444 0.7444

[8]
BaZnO3 | PBE-GGA | relaxed

Output
The total energy comes out at -4.8664 eV/atom. Its space group is R-3m (166).

Unit cell a=6.4574 b=6.4574 c=6.4574 alpha=49.48 beta=49.48 gamma=49.48
Atoms (fractional coordinates):
Ba1 0.1166 0.1166 0.1166
Ba2 0.8834 0.8834 0.8834
Zn1 0.3367 0.3367 0.3367
Zn2 0.6633 0.6633 0.6633
O1 0.0697 0.5804 0.5804
O2 0.4196 0.4196 0.9303
O3 0.4196 0.9303 0.4196
O4 0.5804 0.0697 0.5804
O5 0.5804 0.5804 0.0697
O6 0.9303 0.4196 0.4196

[9]
LuAlCoOs | PBE-GGA | relaxed

Output
The calculation puts the polymorph energy (0 for the lowest one) at 0 meV/atom. Its space group is F-43m (216).

Unit cell a=4.4364 b=4.4364 c=4.4364 alpha=60.00 beta=60.00 gamma=60.00
Atoms (fractional coordinates):
Lu1 0.0000 0.0000 0.0000
Al1 0.5000 0.5000 0.5000
Co1 0.7500 0.7500 0.7500
Os1 0.2500 0.2500 0.2500

[10]
PuZnCo | PBE-GGA | relaxed

Output
The calculation puts the polymorph energy (0 for the lowest one) at 1280 meV/atom. Its formation energy is 1.36 eV per atom. Its space group is F-43m (216).

Unit cell a=4.3798 b=4.3798 c=4.3798 alpha=60.00 beta=60.00 gamma=60.00
Atoms (fractional coordinates):
Pu1 0.0000 0.0000 0.0000
Zn1 0.2500 0.2500 0.2500
Co1 0.7500 0.7500 0.7500

[11]
ZrU | PBE-GGA | relaxed

Output
The calculation puts the polymorph energy (0 for the lowest one) at 110 meV/atom. Its formation energy is 0.22 eV per atom. Its space group is Cmmm (65).

Unit cell a=3.0122 b=3.0122 c=5.4978 alpha=90.00 beta=90.00 gamma=119.44
Atoms (fractional coordinates):
Zr1 0.0000 0.0000 0.0000
U1 0.5000 0.5000 0.5000

[12]
K2Zn5As4 | PBE-GGA | relaxed

Output
The total energy comes out at -2.8097 eV/atom. Its space group is Cmcm (63).

Unit cell a=6.8279 b=6.8279 c=11.6978 alpha=90.00 beta=90.00 gamma=62.84
Atoms (fractional coordinates):
K1 0.2143 0.2143 0.0000
K2 0.2143 0.2143 0.5000
K3 0.7857 0.7857 0.0000
K4 0.7857 0.7857 0.5000
Zn1 0.0069 0.9931 0.7500
Zn2 0.2439 0.4702 0.7500
Zn3 0.3478 0.6522 0.1088
Zn4 0.3478 0.6522 0.3912
Zn5 0.4702 0.2439 0.2500
Zn6 0.5298 0.7561 0.7500
Zn7 0.6522 0.3478 0.6088
Zn8 0.6522 0.3478 0.8912
Zn9 0.7561 0.5298 0.2500
Zn10 0.9931 0.0069 0.2500
As1 0.0840 0.5996 0.2500
As2 0.2756 0.7244 0.5985
As3 0.2756 0.7244 0.9015
As4 0.4004 0.9160 0.2500
As5 0.5996 0.0840 0.7500
As6 0.7244 0.2756 0.0985
As7 0.7244 0.2756 0.4015
As8 0.9160 0.4004 0.7500

[13]
Al5Co7 | PBE-GGA | relaxed

Output
The calculation puts the polymorph energy (0 for the lowest one) at 62 meV/atom. Its space group is P6_3/mmc (194).

Unit cell a=4.8319 b=4.8319 c=15.0844 alpha=90.00 beta=90.00 gamma=120.00
Atoms (fractional coordinates):
Al1 0.1655 0.3310 0.2500
Al2 0.1655 0.8345 0.2500
Al3 0.3310 0.1655 0.7500
Al4 0.3333 0.6667 0.6381
Al5 0.3333 0.6667 0.8619
Al6 0.6667 0.3333 0.1381
Al7 0.6667 0.3333 0.3619
Al8 0.6690 0.8345 0.2500
Al9 0.8345 0.1655 0.7500
Al10 0.8345 0.6690 0.7500
Co1 0.0000 0.0000 0.0928
Co2 0.0000 0.0000 0.4072
Co3 0.0000 0.0000 0.5928
Co4 0.0000 0.0000 0.9072
Co5 0.0000 0.5000 0.0000
Co6 0.0000 0.5000 0.5000
Co7 0.3333 0.6667 0.1255
Co8 0.3333 0.6667 0.3745
Co9 0.5000 0.0000 0.0000
Co10 0.5000 0.0000 0.5000
Co11 0.5000 0.5000 0.0000
Co12 0.5000 0.5000 0.5000
Co13 0.6667 0.3333 0.6255
Co14 0.6667 0.3333 0.8745

[14]
Y2Hf4P3C3 | PBE-GGA | relaxed

Output
The total energy comes out at -9.0248 eV/atom. Its space group is C2/c (15).

Unit cell a=6.0998 b=6.0998 c=12.7908 alpha=103.73 beta=103.73 gamma=60.10
Atoms (fractional coordinates):
Y1 0.0371 0.8746 0.6108
Y2 0.1254 0.9629 0.8892
Y3 0.8746 0.0371 0.1108
Y4 0.9629 0.1254 0.3892
Hf1 0.2030 0.3652 0.1026
Hf2 0.2973 0.4669 0.3973
Hf3 0.3652 0.2030 0.6026
Hf4 0.4669 0.2973 0.8973
Hf5 0.5331 0.7027 0.1027
Hf6 0.6348 0.7970 0.3974
Hf7 0.7027 0.5331 0.6027
Hf8 0.7970 0.6348 0.8974
P1 0.0830 0.2737 0.7511
P2 0.2737 0.0830 0.2511
P3 0.4367 0.5633 0.7500
P4 0.5633 0.4367 0.2500
P5 0.7263 0.9170 0.7489
P6 0.9170 0.7263 0.2489
C1 0.0000 0.5000 0.5000
C2 0.1807 0.6386 0.0002
C3 0.3614 0.8193 0.4998
C4 0.5000 0.0000 0.0000
C5 0.6386 0.1807 0.5002
C6 0.8193 0.3614 0.9998

[15]
DyOs | PBE-GGA | relaxed

Output
Its formation energy is 0.74 eV per atom. Its space group is Fm-3m (225).

Unit cell a=4.0250 b=4.0250 c=4.0250 alpha=60.00 beta=60.00 gamma=60.00
Atoms (fractional coordinates):
Dy1 0.0000 0.0000 0.0000
Os1 0.5000 0.5000 0.5000

[16]
TlSnTe3Au | PBE-GGA | relaxed

Output
The calculation puts the polymorph energy (0 for the lowest one) at 3 meV/atom. Its space group is Pnma (62).

Unit cell a=12.1397 b=4.5112 c=13.2054 alpha=90.00 beta=90.00 gamma=90.00
Atoms (fractional coordinates):
Tl1 0.2474 0.2500 0.0241
Tl2 0.2526 0.7500 0.5241
Tl3 0.7474 0.2500 0.4759
Tl4 0.7526 0.7500 0.9759
Sn1 0.0053 0.2500 0.7499
Sn2 0.4947 0.7500 0.2499
Sn3 0.5053 0.2500 0.7501
Sn4 0.9947 0.7500 0.2501
Te1 0.0255 0.2500 0.4058
Te2 0.0353 0.7500 0.9053
Te3 0.2442 0.7500 0.2175
Te4 0.2558 0.2500 0.7175
Te5 0.4647 0.2500 0.4053
Te6 0.4745 0.7500 0.9058
Te7 0.5255 0.2500 0.0942
Te8 0.5353 0.7500 0.5947
Te9 0.7442 0.7500 0.2825
Te10 0.7558 0.2500 0.7825
Te11 0.9647 0.2500 0.0947
Te12 0.9745 0.7500 0.5942
Au1 0.2446 0.2500 0.3550
Au2 0.2554 0.7500 0.8550
Au3 0.7446 0.2500 0.1450
Au4 0.7554 0.7500 0.6450

[17]
Gd2YAg4Pb4 | PBE-GGA | relaxed

Output
The total energy comes out at -4.1055 eV/atom. Its space group is Immm (71).

Unit cell a=8.9888 b=8.9888 c=8.9888 alpha=149.72 beta=130.76 gamma=58.90
Atoms (fractional coordinates):
Gd1 0.1281 0.1281 0.0000
Gd2 0.8719 0.8719 0.0000
Y1 0.5000 0.0000 0.5000
Ag1 0.1266 0.3267 0.7999
Ag2 0.4731 0.6733 0.7999
Ag3 0.5269 0.3267 0.2001
Ag4 0.8734 0.6733 0.2001
Pb1 0.2037 0.5000 0.7037
Pb2 0.2880 0.7880 0.5000
Pb3 0.7120 0.2120 0.5000
Pb4 0.7963 0.5000 0.2963

[18]
Li3TaO4 | PBE-GGA | relaxed

Output
The calculation puts the polymorph energy (0 for the lowest one) at 27 meV/atom. Its space group is Pmn2_1 (31).

Unit cell a=6.4224 b=5.5376 c=4.8943 alpha=90.00 beta=90.00 gamma=90.00
Atoms (fractional coordinates):
Li1 0.0000 0.1829 0.0000
Li2 0.2460 0.3381 0.4988
Li3 0.2540 0.6619 0.9988
Li4 0.5000 0.8171 0.5000
Li5 0.7460 0.6619 0.9988
Li6 0.7540 0.3381 0.4988
Ta1 0.0000 0.8345 0.5061
Ta2 0.5000 0.1655 0.0061
O1 0.0000 0.1561 0.3956
O2 0.0000 0.8342 0.8884
O3 0.2398 0.6723 0.3948
O4 0.2602 0.3277 0.8948
O5 0.5000 0.1658 0.3884
O6 0.5000 0.8439 0.8956
O7 0.7398 0.3277 0.8948
O8 0.7602 0.6723 0.3948

[19]
Na4AsPPt2 | PBE-GGA | relaxed

Output
The total energy comes out at -3.9188 eV/atom. Its space group is Amm2 (38).

Unit cell a=5.5717 b=5.5538 c=5.5538 alpha=104.39 beta=90.00 gamma=90.00
Atoms (fractional coordinates):
Na1 0.0000 0.1795 0.8205
Na2 0.0000 0.8205 0.1795
Na3 0.5000 0.1287 0.4882
Na4 0.5000 0.4882 0.1287
As1 0.5000 0.9432 0.9432
P1 0.0000 0.3765 0.3765
Pt1 0.2531 0.6436 0.6436
Pt2 0.7469 0.6436 0.6436

[20]
ZnCdTeO | PBE-GGA | relaxed

Output
The calculation puts the polymorph energy (0 for the lowest one) at 47 meV/atom. Its space group is Cmc2_1 (36).

Unit cell a=7.0844 b=7.0844 c=6.0241 alpha=90.00 beta=90.00 gamma=147.26
Atoms (fractional coordinates):
Zn1 0.0457 0.9543 0.5000
Zn2 0.9543 0.0457 0.0000
Cd1 0.3394 0.6606 0.3707
Cd2 0.6606 0.3394 0.8707
Te1 0.3364 0.6636 0.8514
Te2 0.6636 0.3364 0.3514
O1 0.0723 0.9277 0.8208
O2 0.9277 0.0723 0.3208